No. 1
CuSbBr2 | GGA-PBE | relaxed

a = 3.509 Å, b = 4.535 Å, c = 6.429 Å
α = 90.00°, β = 90.00°, γ = 90.00°
Space group Pmmm (No. 47)
Asymmetric unit:
Cu 0.000 0.000 0.000
Sb 0.500 0.000 0.500
Br 0.000 0.500 0.500
Br 0.500 0.500 0.000

Output
**Formation energy (no corrections)**: 0.28 eV/atom

No. 2
Cu2SbBr | GGA-PBE | relaxed

a = 4.481 Å, b = 4.481 Å, c = 7.804 Å
α = 90.00°, β = 90.00°, γ = 90.00°
Space group I4/mmm (No. 139)
Asymmetric unit:
Cu 0.000 0.500 0.250
Sb 0.000 0.000 0.000
Br 0.000 0.000 0.500

Output
**Formation energy (no corrections)**: 0.55 eV/atom

No. 3
Cu2SbBr | GGA-PBE | relaxed

a = 3.362 Å, b = 7.818 Å, c = 8.634 Å
α = 90.00°, β = 90.00°, γ = 90.00°
Space group Immm (No. 71)
Asymmetric unit:
Cu 0.000 0.249 0.000
Sb 0.000 0.000 0.500
Br 0.000 0.500 0.500

Output
**Formation energy (no corrections)**: 0.28 eV/atom

No. 4
CuSbBr2 | GGA-PBE | relaxed

a = 7.221 Å, b = 7.221 Å, c = 7.221 Å
α = 90.00°, β = 90.00°, γ = 90.00°
Space group F-43m (No. 216)
Asymmetric unit:
Cu 0.000 0.000 0.000
Sb 0.250 0.250 0.250
Br 0.000 0.000 0.500
Br 0.250 0.250 0.750

Output
**Formation energy (no corrections)**: 0.45 eV/atom